Below is KCa2Mg2V3O12 after structural relaxation, with properties calculated at the GGA-PBEsol level.

Raw formation energy in eV per atom: -2.704
DFT total energy in eV per formula unit: -154.82
Crystal system: tetragonal

abc: 10.854 10.854 10.854
angles: 110.21 110.21 108.01
Fractional positions:
1 K 0.125 0.375 0.750
2 K 0.375 0.125 0.250
3 K 0.625 0.875 0.750
4 K 0.875 0.625 0.250
5 Ca 0.129 0.250 0.379
6 Ca 0.250 0.371 0.121
7 Ca 0.250 0.871 0.621
8 Ca 0.371 0.750 0.121
9 Ca 0.629 0.250 0.879
10 Ca 0.750 0.129 0.379
11 Ca 0.750 0.629 0.879
12 Ca 0.871 0.750 0.621
13 Mg 0.000 0.000 0.000
14 Mg 0.000 0.000 0.500
15 Mg 0.000 0.500 0.000
16 Mg 0.000 0.500 0.500
17 Mg 0.500 0.000 0.000
18 Mg 0.500 0.000 0.500
19 Mg 0.500 0.500 0.000
20 Mg 0.500 0.500 0.500
21 V 0.122 0.750 0.872
22 V 0.125 0.875 0.250
23 V 0.250 0.122 0.872
24 V 0.250 0.622 0.372
25 V 0.375 0.625 0.750
26 V 0.378 0.250 0.628
27 V 0.622 0.750 0.372
28 V 0.625 0.375 0.250
29 V 0.750 0.378 0.628
30 V 0.750 0.878 0.128
31 V 0.875 0.125 0.750
32 V 0.878 0.250 0.128
33 O 0.012 0.301 0.903
34 O 0.016 0.203 0.122
35 O 0.082 0.703 0.688
36 O 0.102 0.890 0.403
37 O 0.106 0.984 0.688
38 O 0.110 0.012 0.211
39 O 0.112 0.614 0.416
40 O 0.114 0.612 0.916
41 O 0.196 0.198 0.584
42 O 0.198 0.114 0.002
43 O 0.199 0.488 0.597
44 O 0.203 0.582 0.188
45 O 0.297 0.484 0.378
46 O 0.301 0.898 0.289
47 O 0.302 0.304 0.916
48 O 0.304 0.888 0.002
49 O 0.386 0.302 0.498
50 O 0.388 0.804 0.502
51 O 0.390 0.602 0.903
52 O 0.394 0.082 0.878
53 O 0.398 0.801 0.789
54 O 0.418 0.106 0.622
55 O 0.484 0.606 0.188
56 O 0.488 0.390 0.289
57 O 0.512 0.610 0.711
58 O 0.516 0.394 0.812
59 O 0.582 0.894 0.378
60 O 0.602 0.199 0.211
61 O 0.606 0.918 0.122
62 O 0.610 0.398 0.097
63 O 0.612 0.196 0.498
64 O 0.614 0.698 0.502
65 O 0.696 0.112 0.998
66 O 0.698 0.696 0.084
67 O 0.699 0.102 0.711
68 O 0.703 0.516 0.622
69 O 0.797 0.418 0.812
70 O 0.801 0.512 0.403
71 O 0.802 0.886 0.998
72 O 0.804 0.802 0.416
73 O 0.886 0.388 0.084
74 O 0.888 0.386 0.584
75 O 0.890 0.988 0.789
76 O 0.894 0.016 0.312
77 O 0.898 0.110 0.597
78 O 0.918 0.297 0.312
79 O 0.984 0.797 0.878
80 O 0.988 0.699 0.097